This record from the Alexandria database describes LiAg3 after structural relaxation. The functional is PBEsol.

a b c (Å): 2.8587 2.8587 9.1574
angles (deg): 90.00 90.00 120.00
Last column: nearest neighbours and their distance in Å.
Element x y z (fractional)
Ag: 0.0000 0.0000 0.7409  3 Li 2.75, 9 Ag 2.86-2.89
Li: 0.3333 0.6667 0.5000  6 Ag 2.75, 6 Li 2.86
Ag: 0.0000 0.0000 0.2591  3 Li 2.75, 9 Ag 2.86-2.89
Ag: 0.3333 0.6667 0.0000  12 Ag 2.86-2.89

Summary:
The space group is P-6m2. The value obtained for the formation energy from the elements is -0.0721 eV per atom. As for the calculated volume: 64.81 Å³/f.u. As for the spin magnetization: 0.00 μB per atom.